# 1
## LaPdAu (GGA-PBE)

Data for crystalline LaPdAu at its relaxed geometry.

N(E_F)   0.9 states/eV/cell
ΔE_f   -2.422 eV per formula unit
E   -15.8 eV for the cell shown
Space-group type   P3m1, No. 156

a = 3.7165 Å, b = 4.6994 Å, c = 4.6994 Å
α = 120.00°, β = 90.00°, γ = 90.00°
Last column: nearest neighbours and their distance in Å.
Atoms (fractional coordinates):
1 Pd 0.1655 0.3333 0.6667  3 Au 2.71
2 Au 0.1676 0.0000 0.0000  3 Pd 2.71
3 La 0.6669 0.6667 0.3333  6 Pd 3.29, 6 Au 3.29


# 2
## La3PdAu (GGA-PBE)

Data for crystalline La3PdAu at its relaxed geometry.

N(E_F)   10.0 states/eV/cell
ΔE_f   -0.779 eV per formula unit
E   -24.0 eV for the cell shown
Space-group type   Pm-3m, No. 221
Offset from the most stable computed form   234 kJ/mol of formula units

a = 5.6121 Å, b = 5.6121 Å, c = 5.6121 Å
α = 90.00°, β = 90.00°, γ = 90.00°
Last column: nearest neighbours and their distance in Å.
Atoms (fractional coordinates):
1 Pd 0.0000 0.0000 0.0000  6 La 2.81
2 La 0.0000 0.0000 0.5000  2 Pd 2.81
3 La 0.5000 0.0000 0.0000  2 Pd 2.81
4 Au 0.5000 0.5000 0.5000  12 La 3.97
5 La 0.0000 0.5000 0.0000  2 Pd 2.81


# 3
## La3PdAu (GGA-PBE)

Data for crystalline La3PdAu at its relaxed geometry.

N(E_F)   24.4 states/eV/cell
ΔE_f   -3.200 eV per formula unit
E   -105.8 eV for the cell shown
Space-group type   P2_1/c, No. 14
Offset from the most stable computed form   0 kJ/mol of formula units

a = 8.6443 Å, b = 7.6917 Å, c = 9.3340 Å
α = 90.00°, β = 75.66°, γ = 90.00°
Last column: nearest neighbours and their distance in Å.
Atoms (fractional coordinates):
1 La 0.4910 0.3241 0.1504  1 Pd 2.97, 3 Au 3.21-3.29
2 La 0.5090 0.6759 0.8496  1 Pd 2.97, 3 Au 3.21-3.29
3 La 0.3883 0.1481 0.7855  3 Au 3.06-3.17, 2 Pd 3.19-3.25
4 La 0.9910 0.1759 0.1504  1 Pd 2.97, 3 Au 3.21-3.29
5 La 0.2210 0.0081 0.4488  3 Pd 2.92-3.03
6 Pd 0.0273 0.3169 0.4370  6 La 2.92-3.25, 1 Pd 3.04
7 La 0.7790 0.9919 0.5512  3 Pd 2.92-3.03
8 La 0.6117 0.8519 0.2145  3 Au 3.06-3.17, 2 Pd 3.19-3.25
9 Pd 0.9727 0.6831 0.5630  6 La 2.92-3.25, 1 Pd 3.04
10 La 0.8883 0.3519 0.7854  3 Au 3.06-3.17, 2 Pd 3.19-3.25
11 Au 0.1806 0.4602 0.9142  7 La 3.06-3.30, 1 Au 3.20
12 La 0.0090 0.8241 0.8496  1 Pd 2.97, 3 Au 3.21-3.29
13 La 0.1117 0.6481 0.2146  3 Au 3.06-3.17, 2 Pd 3.19-3.25
14 Au 0.3194 0.9602 0.0858  7 La 3.06-3.30, 1 Au 3.20
15 Au 0.8194 0.5398 0.0858  7 La 3.06-3.30, 1 Au 3.20
16 Au 0.6806 0.0398 0.9142  7 La 3.06-3.30, 1 Au 3.20
17 Pd 0.4727 0.8169 0.5630  6 La 2.92-3.25, 1 Pd 3.04
18 Pd 0.5273 0.1831 0.4370  6 La 2.92-3.25, 1 Pd 3.04
19 La 0.7210 0.4919 0.4488  3 Pd 2.92-3.03
20 La 0.2790 0.5081 0.5512  3 Pd 2.92-3.03


# 4
## La3PdAu (GGA-PBE)

Data for crystalline La3PdAu at its relaxed geometry.

N(E_F)   9.4 states/eV/cell
ΔE_f   -2.693 eV per formula unit
E   -51.9 eV for the cell shown
Space-group type   P1, No. 1
Offset from the most stable computed form   49 kJ/mol of formula units

a = 4.1377 Å, b = 8.9667 Å, c = 8.9797 Å
α = 69.18°, β = 89.99°, γ = 89.99°
Last column: nearest neighbours and their distance in Å.
Atoms (fractional coordinates):
1 La 0.8638 0.3944 0.8175  2 Pd 2.95, 2 Au 3.27
2 Pd 0.3624 0.6943 0.2462  6 La 2.93-2.96
3 La 0.3635 0.0422 0.0940  2 Pd 2.93, 2 Au 3.06
4 La 0.3633 0.3465 0.3989  2 Pd 2.93, 2 Au 3.06
5 La 0.8626 0.6218 0.0468  2 Pd 2.96, 2 Au 3.27-3.28
6 Au 0.8634 0.1936 0.2472  4 La 3.06
7 La 0.8624 0.7664 0.4459  2 Pd 2.96, 2 Au 3.27-3.28
8 La 0.8639 0.9941 0.6750  2 Pd 2.95, 2 Au 3.27
9 Pd 0.3639 0.1941 0.7464  6 La 2.93-2.95
10 Au 0.3631 0.6941 0.7464  8 La 3.27-3.28


# 5
## LaPd3Au (GGA-PBE)

Data for crystalline LaPd3Au at its relaxed geometry.

N(E_F)   2.4 states/eV/cell
ΔE_f   0.339 eV per formula unit
E   -23.4 eV for the cell shown
Space-group type   Pm-3m, No. 221
Offset from the most stable computed form   329 kJ/mol of formula units

a = 4.9847 Å, b = 4.9847 Å, c = 4.9847 Å
α = 90.00°, β = 90.00°, γ = 90.00°
Last column: nearest neighbours and their distance in Å.
Atoms (fractional coordinates):
1 Pd 0.5000 0.0000 0.0000  2 Au 2.49
2 La 0.5000 0.5000 0.5000  12 Pd 3.52
3 Pd 0.0000 0.5000 0.0000  2 Au 2.49
4 Pd 0.0000 0.0000 0.5000  2 Au 2.49
5 Au 0.0000 0.0000 0.0000  6 Pd 2.49


# 6
## La3Pd7Au2 (GGA-PBE)

Data for crystalline La3Pd7Au2 at its relaxed geometry.

N(E_F)   6.0 states/eV/cell
ΔE_f   -8.896 eV per formula unit
E   -66.6 eV for the cell shown
Space-group type   R-3m, No. 166

a = 5.5439 Å, b = 5.5439 Å, c = 9.6209 Å
α = 73.25°, β = 73.25°, γ = 60.00°
Last column: nearest neighbours and their distance in Å.
Atoms (fractional coordinates):
1 Au 0.3336 0.3336 0.9993  6 Pd 2.81-2.82
2 La 0.0000 0.0000 0.0000  6 Au 3.20
3 Au 0.6664 0.6664 0.0007  6 Pd 2.81-2.82
4 La 0.8616 0.8616 0.4151  12 Pd 3.13-3.38
5 Pd 0.5000 0.5000 0.5000  6 Pd 2.74
6 Pd 0.4133 0.9180 0.2555  5 Pd 2.74-2.80, 2 Au 2.81-2.82
7 Pd 0.4133 0.4133 0.2555  5 Pd 2.74-2.80, 2 Au 2.81-2.82
8 La 0.1384 0.1384 0.5849  12 Pd 3.13-3.38
9 Pd 0.5867 0.5867 0.7445  5 Pd 2.74-2.80, 2 Au 2.81-2.82
10 Pd 0.5867 0.0820 0.7445  5 Pd 2.74-2.80, 2 Au 2.81-2.82
11 Pd 0.9180 0.4133 0.2555  5 Pd 2.74-2.80, 2 Au 2.81-2.82
12 Pd 0.0820 0.5867 0.7445  5 Pd 2.74-2.80, 2 Au 2.81-2.82


# 7
## LaPd3Au9 (GGA-PBE)

Data for crystalline LaPd3Au9 at its relaxed geometry.

N(E_F)   4.9 states/eV/cell
ΔE_f   -3.842 eV per formula unit
E   -53.8 eV for the cell shown
Space-group type   C2/m, No. 12

a = 5.6632 Å, b = 7.2699 Å, c = 7.1788 Å
α = 80.84°, β = 66.77°, γ = 66.20°
Last column: nearest neighbours and their distance in Å.
Atoms (fractional coordinates):
1 Au 0.4974 0.7848 0.2179  3 Pd 2.73-2.78, 5 Au 2.76-3.01
2 Au 0.2847 0.2152 0.2179  3 Pd 2.73-2.78, 5 Au 2.76-3.01
3 Pd 0.5000 0.0000 0.5000  8 Au 2.73-2.87, 2 Pd 2.83
4 Pd 0.0000 0.0000 0.5000  8 Au 2.73-2.87, 2 Pd 2.83
5 Au 0.9913 0.3387 0.6543  3 Pd 2.83-2.87, 6 Au 2.93-3.13
6 La 0.0000 0.0000 0.0000  12 Au 3.21-3.51, 4 Pd 3.59
7 Au 0.7153 0.7848 0.7821  3 Pd 2.73-2.78, 5 Au 2.76-3.01
8 Au 0.0000 0.5000 0.0000  8 Au 2.76-2.93, 2 Pd 2.83
9 Au 0.0087 0.6613 0.3457  3 Pd 2.83-2.87, 6 Au 2.93-3.13
10 Au 0.6456 0.3387 0.3457  3 Pd 2.83-2.87, 6 Au 2.93-3.13
11 Pd 0.5000 0.5000 0.0000  10 Au 2.78-2.85
12 Au 0.5026 0.2152 0.7821  3 Pd 2.73-2.78, 5 Au 2.76-3.01
13 Au 0.3544 0.6613 0.6543  3 Pd 2.83-2.87, 6 Au 2.93-3.13


# 8
## La2Pd4Au5 (GGA-PBE)

Data for crystalline La2Pd4Au5 at its relaxed geometry.

N(E_F)   3.6 states/eV/cell
ΔE_f   -6.163 eV per formula unit
E   -53.2 eV for the cell shown
Space-group type   Fmmm, No. 69

a = 5.5298 Å, b = 5.3968 Å, c = 9.5852 Å
α = 81.50°, β = 73.23°, γ = 59.18°
Last column: nearest neighbours and their distance in Å.
Atoms (fractional coordinates):
1 Pd 0.5342 0.6763 0.2553  5 Au 2.76-2.84, 1 Pd 3.00
2 Au 0.5000 0.5000 0.0000  4 Au 2.70-2.76, 4 Pd 2.84
3 Pd 0.2105 0.3237 0.2553  5 Au 2.76-2.84, 1 Pd 3.00
4 La 0.1337 0.0000 0.7325  6 Pd 3.14-3.15, 4 Au 3.44
5 Pd 0.7895 0.6763 0.7447  5 Au 2.76-2.84, 1 Pd 3.00
6 Au 0.2500 0.5000 0.5000  4 Pd 2.76, 2 Au 2.76
7 La 0.8663 0.0000 0.2675  6 Pd 3.14-3.15, 4 Au 3.44
8 Au 0.0000 0.5000 0.0000  4 Au 2.70-2.76, 4 Pd 2.84
9 Pd 0.4658 0.3237 0.7447  5 Au 2.76-2.84, 1 Pd 3.00
10 Au 0.7500 0.5000 0.5000  4 Pd 2.76, 2 Au 2.76
11 Au 0.5000 0.0000 0.0000  4 Au 2.70, 4 Pd 2.78


# 9
## LaPd4Au2 (GGA-PBE)

Data for crystalline LaPd4Au2 at its relaxed geometry.

N(E_F)   2.7 states/eV/cell
ΔE_f   2.513 eV per formula unit
E   -29.7 eV for the cell shown
Space-group type   I4/mmm, No. 139
Offset from the most stable computed form   593 kJ/mol of formula units

a = 5.1478 Å, b = 5.1478 Å, c = 7.5018 Å
α = 69.93°, β = 69.93°, γ = 90.00°
Last column: nearest neighbours and their distance in Å.
Atoms (fractional coordinates):
1 Pd 0.5000 0.0000 0.0000  2 La 2.57
2 Au 0.6038 0.6038 0.7925  5 Pd 2.65-2.91, 1 Au 2.72
3 Au 0.3962 0.3962 0.2075  5 Pd 2.65-2.91, 1 Au 2.72
4 Pd 0.0000 0.5000 0.0000  2 La 2.57
5 Pd 0.8059 0.8059 0.3882  1 La 2.55, 1 Au 2.65
6 La 0.0000 0.0000 0.0000  6 Pd 2.55-2.57
7 Pd 0.1941 0.1941 0.6118  1 La 2.55, 1 Au 2.65


# 10
## LaPd4Au8 (GGA-PBE)

Data for crystalline LaPd4Au8 at its relaxed geometry.

N(E_F)   5.0 states/eV/cell
ΔE_f   -4.073 eV per formula unit
E   -56.0 eV for the cell shown
Space-group type   I4/mmm, No. 139

a = 5.6476 Å, b = 7.1683 Å, c = 7.1683 Å
α = 81.07°, β = 66.80°, γ = 66.80°
Last column: nearest neighbours and their distance in Å.
Atoms (fractional coordinates):
1 Au 0.0000 0.3400 0.6600  4 Pd 2.85, 5 Au 2.98-3.04, 1 La 3.17
2 La 0.0000 0.0000 0.0000  12 Au 3.17-3.48
3 Au 0.7180 0.7820 0.7820  4 Pd 2.74, 6 Au 2.87-3.04
4 Au 0.3400 0.6600 0.6600  4 Pd 2.85, 5 Au 2.98-3.04, 1 La 3.17
5 Pd 0.5000 0.5000 0.0000  8 Au 2.74-2.85, 2 Pd 2.82
6 Au 0.6600 0.3400 0.3400  4 Pd 2.85, 5 Au 2.98-3.04, 1 La 3.17
7 Au 0.5000 0.2180 0.7820  4 Pd 2.74, 6 Au 2.87-3.04
8 Pd 0.0000 0.5000 0.0000  8 Au 2.74-2.85, 2 Pd 2.82
9 Au 0.0000 0.6600 0.3400  4 Pd 2.85, 5 Au 2.98-3.04, 1 La 3.17
10 Pd 0.5000 0.0000 0.5000  8 Au 2.74-2.85, 2 Pd 2.82
11 Au 0.5000 0.7820 0.2180  4 Pd 2.74, 6 Au 2.87-3.04
12 Pd 0.0000 0.0000 0.5000  8 Au 2.74-2.85, 2 Pd 2.82
13 Au 0.2820 0.2180 0.2180  4 Pd 2.74, 6 Au 2.87-3.04


# 11
## La5Pd2Au5 (GGA-PBE)

Data for crystalline La5Pd2Au5 at its relaxed geometry.

N(E_F)   7.9 states/eV/cell
ΔE_f   -9.904 eV per formula unit
E   -61.3 eV for the cell shown
Space-group type   C2/m, No. 12

a = 4.1965 Å, b = 8.7343 Å, c = 9.0219 Å
α = 89.63°, β = 76.55°, γ = 76.10°
Last column: nearest neighbours and their distance in Å.
Atoms (fractional coordinates):
1 La 0.3039 0.2972 0.0951  2 Pd 3.02, 6 Au 3.11-3.35
2 La 0.6175 0.0786 0.6865  5 Au 3.07-3.18
3 La 0.3825 0.9214 0.3135  5 Au 3.07-3.18
4 La 0.6961 0.7028 0.9049  2 Pd 3.02, 6 Au 3.11-3.35
5 Au 0.9314 0.3030 0.8342  2 Pd 2.77, 1 Au 3.02, 2 La 3.07
6 Au 0.0000 0.0000 0.0000  2 Au 3.02, 4 La 3.35
7 Au 0.2817 0.7987 0.6378  1 Pd 2.82, 1 La 3.08
8 Pd 0.3775 0.4939 0.7511  3 Au 2.77-2.82, 4 La 3.02-3.05
9 Au 0.7183 0.2013 0.3622  1 Pd 2.82, 1 La 3.08
10 Pd 0.6225 0.5061 0.2489  3 Au 2.77-2.82, 4 La 3.02-3.05
11 La 0.0000 0.5000 0.5000  4 Pd 3.05
12 Au 0.0686 0.6970 0.1658  2 Pd 2.77, 1 Au 3.02, 2 La 3.07